No. 1
Below is a relaxed structure of PPd3S, with properties calculated at the GGA-PBE level.

Summary:
- Volume: 18.18 A^3/atom
- Polymorph energy (0 for the lowest one): 2.245 eV/f.u.
- Size of the total moment: 0.0 μB/f.u.

a = 4.497 Å, b = 4.497 Å, c = 4.497 Å
α = 90.00°, β = 90.00°, γ = 90.00°
Atoms (fractional coordinates):
P: 0.000 0.000 0.000
Pd: 0.000 0.000 0.500
Pd: 0.000 0.500 0.000
Pd: 0.500 0.000 0.000
S: 0.500 0.500 0.500



No. 2
Below is a relaxed structure of PPd2S, with properties calculated at the GGA-PBE level.

Summary:
- Volume: 14.84 A^3/atom
- Size of the total moment: 0.0 μB/f.u.
- Total DFT energy (no corrections): -5.010 eV per atom

a = 4.379 Å, b = 4.379 Å, c = 4.379 Å
α = 60.00°, β = 60.00°, γ = 60.00°
Atoms (fractional coordinates):
P: 0.000 0.000 0.000
Pd: 0.250 0.250 0.250
Pd: 0.750 0.750 0.750
S: 0.500 0.500 0.500



No. 3
Below is a relaxed structure of P2Pd3S8, with properties calculated at the GGA-PBE level.

Summary:
- Volume: 25.87 A^3/atom
- Size of the total moment: 0.0 μB/f.u.
- Total DFT energy (no corrections): -4.895 eV per atom

a = 7.190 Å, b = 7.190 Å, c = 7.512 Å
α = 90.00°, β = 90.00°, γ = 120.00°
Atoms (fractional coordinates):
P: 0.333 0.667 0.317
P: 0.667 0.333 0.683
Pd: 0.000 0.500 0.000
Pd: 0.500 0.000 0.000
Pd: 0.500 0.500 0.000
S: 0.186 0.371 0.174
S: 0.186 0.814 0.174
S: 0.333 0.667 0.572
S: 0.371 0.186 0.826
S: 0.629 0.814 0.174
S: 0.667 0.333 0.428
S: 0.814 0.186 0.826
S: 0.814 0.629 0.826